A relaxed structure of MnAlCl. Source: Alexandria via LeMat-Bulk, functional PBE.

Computed properties:
Spin magnetization   1.288 μB/atom
Space group   Fmm2
Calculated volume   57 Å³/f.u.

Cell lengths 7.3017, 6.9774, 3.1029 Å; angles 83.37, 71.66, 24.97 degrees
Sites, in units of the cell vectors:
Mn 0.0000 0.0000 0.0000
Al 0.6509 0.6509 0.3491
Cl 0.3688 0.3688 0.6312

=====

A relaxed structure of CuReSi2. Source: Alexandria via LeMat-Bulk, functional PBE.

Computed properties:
Spin magnetization   0.000 μB/atom
Space group   P4/mmm
Calculated volume   52 Å³/f.u.

Cell lengths 3.1119, 3.1119, 5.3692 Å; angles 90.00, 90.00, 90.00 degrees
Sites, in units of the cell vectors:
Cu 0.0000 0.0000 0.0000
Re 0.0000 0.0000 0.5000
Si 0.5000 0.5000 0.2435
Si 0.5000 0.5000 0.7565

=====

So what do the calculations give for E_form (uncorrected)? Going down the list: 2, -87 meV per atom.
So what do the calculations give for density of states at the Fermi level? Going down the list: 1.607, 0.808 states/eV per cell.